(1)
# VCo2Ni4 (GGA-PBE, relaxed)
# distance to the lowest polymorph of the same formula	988	meV/atom
# formation energy from the elements	1.0032	eV per atom
# volume	205.01	Å³ per cell
data_VCo2Ni4
_chemical_formula_sum 'V2 Co4 Ni8'
_cell_length_a 4.2413
_cell_length_b 4.2413
_cell_length_c 11.3966
_cell_angle_alpha 90.00
_cell_angle_beta 90.00
_cell_angle_gamma 90.00
_symmetry_space_group_name_H-M 'I 4/m m m'
_symmetry_Int_Tables_number 139
_symmetry_space_group_name_Hall '-I 4 2'
loop_
_atom_site_label
_atom_site_type_symbol
_atom_site_fract_x
_atom_site_fract_y
_atom_site_fract_z
_atom_site_occupancy
V1 V 0.0000 0.0000 0.0000 1
Co1 Co 0.0000 0.0000 0.3953 1
Ni1 Ni 0.0000 0.0000 0.1924 1
Ni2 Ni 0.0000 0.5000 0.0000 1

(2)
# V2Co2Ni (GGA-PBE, relaxed)
# distance to the lowest polymorph of the same formula	185	meV/atom
# formation energy from the elements	0.0944	eV per atom
# volume	122.12	Å³ per cell
data_V2Co2Ni
_chemical_formula_sum 'V4 Co4 Ni2'
_cell_length_a 6.8492
_cell_length_b 6.8492
_cell_length_c 2.6031
_cell_angle_alpha 90.00
_cell_angle_beta 90.00
_cell_angle_gamma 90.00
_symmetry_space_group_name_H-M 'P 4/m b m'
_symmetry_Int_Tables_number 127
_symmetry_space_group_name_Hall '-P 4 2ab'
loop_
_atom_site_label
_atom_site_type_symbol
_atom_site_fract_x
_atom_site_fract_y
_atom_site_fract_z
_atom_site_occupancy
V1 V 0.1570 0.3430 0.0000 1
Co1 Co 0.1384 0.6384 0.5000 1
Ni1 Ni 0.0000 0.0000 0.0000 1

(3)
# V2CoNi (GGA-PBE, relaxed)
# distance to the lowest polymorph of the same formula	1	meV/atom
# formation energy from the elements	-0.1641	eV per atom
# volume	47.30	Å³ per cell
data_V2CoNi
_chemical_formula_sum 'V2 Co1 Ni1'
_cell_length_a 2.5543
_cell_length_b 2.5543
_cell_length_c 7.2490
_cell_angle_alpha 90.00
_cell_angle_beta 90.00
_cell_angle_gamma 90.00
_symmetry_space_group_name_H-M 'P 4/m m m'
_symmetry_Int_Tables_number 123
_symmetry_space_group_name_Hall '-P 4 2'
loop_
_atom_site_label
_atom_site_type_symbol
_atom_site_fract_x
_atom_site_fract_y
_atom_site_fract_z
_atom_site_occupancy
V1 V 0.0000 0.0000 0.2424 1
Co1 Co 0.5000 0.5000 0.0000 1
Ni1 Ni 0.5000 0.5000 0.5000 1

(4)
# VCo4Ni12 (GGA-PBE, relaxed)
# formation energy from the elements	0.2202	eV per atom
# volume	392.13	Å³ per cell
data_VCo4Ni12
_chemical_formula_sum 'V2 Co8 Ni24'
_cell_length_a 7.3194
_cell_length_b 7.3194
_cell_length_c 7.3194
_cell_angle_alpha 90.00
_cell_angle_beta 90.00
_cell_angle_gamma 90.00
_symmetry_space_group_name_H-M 'I m -3 m'
_symmetry_Int_Tables_number 229
_symmetry_space_group_name_Hall '-I 4 2 3'
loop_
_atom_site_label
_atom_site_type_symbol
_atom_site_fract_x
_atom_site_fract_y
_atom_site_fract_z
_atom_site_occupancy
V1 V 0.0000 0.0000 0.0000 1
Co1 Co 0.2500 0.2500 0.2500 1
Ni1 Ni 0.0000 0.0000 0.2965 1
Ni2 Ni 0.0000 0.2500 0.5000 1

(5)
# V3Co2Ni2 (GGA-PBE, relaxed)
# formation energy from the elements	-0.0914	eV per atom
# volume	164.67	Å³ per cell
data_V3Co2Ni2
_chemical_formula_sum 'V6 Co4 Ni4'
_cell_length_a 8.8971
_cell_length_b 3.0904
_cell_length_c 6.0699
_cell_angle_alpha 90.00
_cell_angle_beta 99.36
_cell_angle_gamma 90.00
_symmetry_space_group_name_H-M 'C 1 2/m 1'
_symmetry_Int_Tables_number 12
_symmetry_space_group_name_Hall '-C 2y'
loop_
_atom_site_label
_atom_site_type_symbol
_atom_site_fract_x
_atom_site_fract_y
_atom_site_fract_z
_atom_site_occupancy
V1 V 0.0000 0.0000 0.0000 1
V2 V 0.2216 0.5000 0.1628 1
Co1 Co 0.0675 0.5000 0.7224 1
Ni1 Ni 0.1403 0.0000 0.4344 1

(6)
# VCoNi (GGA-PBE, relaxed)
# distance to the lowest polymorph of the same formula	0	meV/atom
# formation energy from the elements	-0.1738	eV per atom
# volume	68.18	Å³ per cell
data_VCoNi
_chemical_formula_sum 'V2 Co2 Ni2'
_cell_length_a 2.6192
_cell_length_b 4.0346
_cell_length_c 6.5814
_cell_angle_alpha 90.00
_cell_angle_beta 101.40
_cell_angle_gamma 90.00
_symmetry_space_group_name_H-M 'P 1 21/m 1'
_symmetry_Int_Tables_number 11
_symmetry_space_group_name_Hall '-P 2yb'
loop_
_atom_site_label
_atom_site_type_symbol
_atom_site_fract_x
_atom_site_fract_y
_atom_site_fract_z
_atom_site_occupancy
V1 V 0.1034 0.2500 0.2070 1
Co1 Co 0.4403 0.2500 0.8804 1
Ni1 Ni 0.2276 0.7500 0.4540 1

(7)
# V3CoNi (GGA-PBE, relaxed)
# distance to the lowest polymorph of the same formula	931	meV/atom
# formation energy from the elements	1.1052	eV per atom
# volume	78.97	Å³ per cell
data_V3CoNi
_chemical_formula_sum 'V3 Co1 Ni1'
_cell_length_a 4.2903
_cell_length_b 4.2903
_cell_length_c 4.2903
_cell_angle_alpha 90.00
_cell_angle_beta 90.00
_cell_angle_gamma 90.00
_symmetry_space_group_name_H-M 'P m -3 m'
_symmetry_Int_Tables_number 221
_symmetry_space_group_name_Hall '-P 4 2 3'
loop_
_atom_site_label
_atom_site_type_symbol
_atom_site_fract_x
_atom_site_fract_y
_atom_site_fract_z
_atom_site_occupancy
V1 V 0.0000 0.0000 0.5000 1
Co1 Co 0.5000 0.5000 0.5000 1
Ni1 Ni 0.0000 0.0000 0.0000 1

(8)
# VCoNi4 (GGA-PBE, relaxed)
# distance to the lowest polymorph of the same formula	988	meV/atom
# formation energy from the elements	0.9930	eV per atom
# volume	374.01	Å³ per cell
data_VCoNi4
_chemical_formula_sum 'V4 Co4 Ni16'
_cell_length_a 6.7555
_cell_length_b 6.7555
_cell_length_c 8.1954
_cell_angle_alpha 90.00
_cell_angle_beta 90.00
_cell_angle_gamma 90.00
_symmetry_space_group_name_H-M 'I 41/a m d'
_symmetry_Int_Tables_number 141
loop_
_symmetry_equiv_pos_as_xyz
'x,y,z'
'-x,-y,-z'
'-y+1/4,x+3/4,z+1/4'
'y+1/4,-x+3/4,-z+1/4'
'-x+1/2,-y,z+1/2'
'x+1/2,y,-z+1/2'
'y+1/4,-x+1/4,z+3/4'
'-y+1/4,x+1/4,-z+3/4'
'x,-y,-z'
'-x,y,z'
'-y+1/4,-x+1/4,-z+3/4'
'y+1/4,x+1/4,z+3/4'
'-x+1/2,y,-z+1/2'
'x+1/2,-y,z+1/2'
'y+1/4,x+3/4,-z+1/4'
'-y+1/4,-x+3/4,z+1/4'
'x+1/2,y+1/2,z+1/2'
'-x+1/2,-y+1/2,-z+1/2'
'-y+3/4,x+1/4,z+3/4'
'y+3/4,-x+1/4,-z+3/4'
'-x,-y+1/2,z'
'x,y+1/2,-z'
'y+3/4,-x+3/4,z+1/4'
'-y+3/4,x+3/4,-z+1/4'
'x+1/2,-y+1/2,-z+1/2'
'-x+1/2,y+1/2,z+1/2'
'-y+3/4,-x+3/4,-z+1/4'
'y+3/4,x+3/4,z+1/4'
'-x,y+1/2,-z'
'x,-y+1/2,z'
'y+3/4,x+1/4,-z+3/4'
'-y+3/4,-x+1/4,z+3/4'
loop_
_atom_site_label
_atom_site_type_symbol
_atom_site_fract_x
_atom_site_fract_y
_atom_site_fract_z
_atom_site_occupancy
V1 V 0.0000 0.2500 0.3750 1
Co1 Co 0.0000 0.2500 0.8750 1
Ni1 Ni 0.0000 0.0746 0.6377 1

Q: Which value of volume does entry 4 give?
A: 392.13 Å³ per cell